No. 1
This record from Alexandria describes a relaxed structure of Mg3GeRu. The functional is PBE.

Distance to the lowest polymorph of the same formula = 0.00 eV per formula unit
Calculated formation energy = 0.567 eV/atom
Space group = No. 221
Magnetic moment = 0.00 μB per cell

Unit cell a=4.916 b=4.916 c=4.916 alpha=90.00 beta=90.00 gamma=90.00
Positions (direct):
Ge: 0.500 0.500 0.500
Mg: 0.000 0.000 0.500
Mg: 0.500 0.000 0.000
Mg: 0.000 0.500 0.000
Ru: 0.000 0.000 0.000

=====

No. 2
This record from Alexandria describes a relaxed structure of MgGe2Ru. The functional is PBE.

Calculated formation energy = 0.370 eV/atom
Space group = No. 122
Magnetic moment = 0.00 μB per cell

Unit cell a=6.351 b=6.351 c=6.588 alpha=61.18 beta=61.18 gamma=90.00
Positions (direct):
Ge: 0.375 0.324 0.750
Ge: 0.074 0.625 0.250
Ru: 0.750 0.250 0.500
Ge: 0.676 0.125 0.250
Ru: 0.000 0.000 0.000
Ge: 0.875 0.926 0.750
Mg: 0.500 0.500 0.000
Mg: 0.250 0.750 0.500

=====

No. 3
This record from Alexandria describes a relaxed structure of MgGe2Ru. The functional is PBE.

Calculated formation energy = -0.131 eV/atom
Space group = No. 123
Magnetic moment = 0.00 μB per cell

Unit cell a=3.118 b=3.118 c=6.878 alpha=90.00 beta=90.00 gamma=90.00
Positions (direct):
Ge: 0.000 0.000 0.211
Ru: 0.500 0.500 0.000
Ge: 0.000 0.000 0.789
Mg: 0.500 0.500 0.500

=====

No. 4
This record from Alexandria describes a relaxed structure of MgGeRu2. The functional is PBE.

Calculated formation energy = -0.183 eV/atom
Space group = No. 225
Magnetic moment = 0.00 μB per cell

Unit cell a=4.317 b=4.317 c=4.317 alpha=60.00 beta=60.00 gamma=60.00
Positions (direct):
Ru: 0.750 0.750 0.750
Mg: 0.000 0.000 0.000
Ge: 0.500 0.500 0.500
Ru: 0.250 0.250 0.250